DFT (GGA-PBE) results for a geometry-optimized CdIn2GaNi structure.

Cell: 5.279 5.279 4.990 Å, 90.00 90.00 90.00°
Positions (direct):
Cd1 0.000 0.000 0.000
In1 0.000 0.500 0.500
In2 0.500 0.000 0.500
Ga1 0.000 0.000 0.500
Ni1 0.500 0.500 0.000

Total magnetic moment in μB per cell: 0.000
Formation enthalpy at 0 K in eV per atom: 0.7781
Total energy in eV/cell: -11.31